No. 1
Compound: Re2Mo2Se7
Source: Alexandria
Functional: PBE
Structure: relaxed

a b c (Å): 6.539 13.545 6.908
angles (deg): 90.00 101.03 90.00
Space group C2/m (No. 12)
Symmetry-distinct sites (fractional):
Re (0.000, 0.096, 0.000) x4
Mo (0.122, 0.000, 0.384) x4
Se (0.000, 0.500, 0.500) x2
Se (0.142, 0.184, 0.285) x8
Se (0.249, 0.500, 0.152) x4

DOS(E_F): 13.08 states/eV/cell
ΔE_f (raw): -0.0219 eV per atom
M_tot: 0.00 μB/f.u.

---

No. 2
Compound: KRb3Re2O8
Source: Alexandria
Functional: PBE
Structure: relaxed

a b c (Å): 6.4592 6.4592 8.2596
angles (deg): 90.00 90.00 120.00
Space group P-3m1 (No. 164)
Symmetry-distinct sites (fractional):
K (0.0000, 0.0000, 0.0000) x1
Rb (0.0000, 0.0000, 0.5000) x1
Rb (0.3333, 0.6667, 0.1642) x2
Re (0.3333, 0.6667, 0.7077) x2
O (0.1829, 0.3659, 0.7898) x6
O (0.3333, 0.6667, 0.4912) x2

DOS(E_F): 12.05 states/eV/cell
ΔE_f (raw): -1.7232 eV per atom
M_tot: 2.01 μB/f.u.

---

No. 3
Compound: Zn2Mo
Source: Alexandria
Functional: PBE
Structure: relaxed

a b c (Å): 4.877 4.877 2.460
angles (deg): 90.00 90.00 90.00
Space group P4/mmm (No. 123)
Symmetry-distinct sites (fractional):
Zn (0.000, 0.500, 0.000) x2
Mo (0.000, 0.000, 0.500) x1

DOS(E_F): 1.38 states/eV/cell
calculated formation energy: 336 meV per atom
M_tot: 0.00 μB/f.u.

---

No. 4
Compound: La2GeRh
Source: Alexandria
Functional: PBE
Structure: relaxed

a b c (Å): 7.963 7.963 6.626
angles (deg): 90.00 90.00 90.00
Space group I-42d (No. 122)
Symmetry-distinct sites (fractional):
La (0.213, 0.250, 0.125) x8
Ge (0.000, 0.000, 0.500) x4
Rh (0.000, 0.000, 0.000) x4

DOS(E_F): 10.03 states/eV/cell
calculated formation energy: -467 meV per atom
M_tot: 0.00 μB/f.u.

---

No. 5
Compound: BaHf2Cd2O7
Source: Alexandria
Functional: PBE
Structure: relaxed

a b c (Å): 4.139 19.489 4.389
angles (deg): 90.00 90.00 90.00
Space group Imm2 (No. 44)
Symmetry-distinct sites (fractional):
Ba (0.000, 0.000, 0.000) x2
Hf (0.000, 0.395, 0.000) x4
Cd (0.000, 0.274, 0.499) x4
O (0.000, 0.103, 0.498) x4
O (0.000, 0.283, 0.999) x4
O (0.000, 0.394, 0.498) x4
O (0.000, 0.500, 0.998) x2

DOS(E_F): 0.00 states/eV/cell
ΔE_f (raw): -2.5525 eV per atom
M_tot: 0.00 μB/f.u.

---

No. 6
Compound: Ac2HoTc3O12
Source: Alexandria
Functional: PBE
Structure: relaxed

a b c (Å): 7.2839 7.2839 15.9886
angles (deg): 90.00 90.00 120.00
Space group R-3m (No. 166, hexagonal axes)
Symmetry-distinct sites (fractional):
Ac (0.0000, 0.0000, 0.1185) x6
Ho (0.0000, 0.0000, 0.5000) x3
Tc (0.0000, 0.5000, 0.0000) x9
O (0.0428, 0.5214, 0.8793) x18
O (0.0661, 0.5331, 0.3109) x18

DOS(E_F): 16.46 states/eV/cell
ΔE_f (raw): -2.1327 eV per atom
M_tot: 5.84 μB/f.u.

---

No. 7
Compound: Rb2AgF5
Source: Alexandria
Functional: PBE
Structure: relaxed

a b c (Å): 6.276 6.276 4.298
angles (deg): 90.00 90.00 90.00
Space group P4/mmm (No. 123)
Symmetry-distinct sites (fractional):
Rb (0.000, 0.500, 0.000) x2
Ag (0.000, 0.000, 0.500) x1
F (0.000, 0.000, 0.000) x1
F (0.233, 0.233, 0.500) x4

DOS(E_F): 3.85 states/eV/cell
ΔE_f (raw): -1.9615 eV per atom
M_tot: 1.02 μB/f.u.

---

No. 8
Compound: Re2SiBr
Source: Alexandria
Functional: PBE
Structure: relaxed

a b c (Å): 10.121 3.006 4.217
angles (deg): 90.00 105.05 90.00
Space group Cm (No. 8)
Symmetry-distinct sites (fractional):
Re (0.000, 0.000, 0.000) x2
Re (0.245, 0.500, 0.302) x2
Si (0.290, 0.000, 0.850) x2
Br (0.032, 0.500, 0.505) x2

DOS(E_F): 4.56 states/eV/cell
E above lowest polymorph: 0.493 eV per atom
ΔE_f (raw): 0.7802 eV per atom
M_tot: 0.00 μB/f.u.

---

No. 9
Compound: CsI2Cl8
Source: Alexandria
Functional: PBE
Structure: relaxed

a b c (Å): 6.367 9.346 9.347
angles (deg): 60.02 89.91 89.95
Space group P-1 (No. 2)
Symmetry-distinct sites (fractional):
Cs (0.000, 0.000, 0.000) x1
I (0.306, 0.333, 0.333) x2
Cl (0.192, 0.667, 0.667) x2
Cl (0.312, 0.184, 0.181) x2
Cl (0.313, 0.181, 0.635) x2
Cl (0.313, 0.635, 0.184) x2

DOS(E_F): 4.45 states/eV/cell
ΔE_f (raw): -0.2623 eV per atom
M_tot: 0.00 μB/f.u.

---

No. 10
Compound: TePbAu
Source: Alexandria
Functional: PBE
Structure: relaxed

a b c (Å): 3.391 3.968 11.919
angles (deg): 90.00 90.00 90.00
Space group Imm2 (No. 44)
Symmetry-distinct sites (fractional):
Te (0.000, 0.000, 0.000) x2
Pb (0.000, 0.000, 0.285) x2
Au (0.000, 0.000, 0.647) x2

DOS(E_F): 3.23 states/eV/cell
ΔE_f (raw): 0.0383 eV per atom
M_tot: 0.00 μB/f.u.

---

No. 11
Compound: BaMn4W
Source: Alexandria
Functional: PBE
Structure: relaxed

a b c (Å): 7.263 7.263 7.263
angles (deg): 90.00 90.00 90.00
Space group F-43m (No. 216)
Symmetry-distinct sites (fractional):
Ba (0.000, 0.000, 0.000) x4
Mn (0.123, 0.123, 0.623) x16
W (0.250, 0.250, 0.250) x4

DOS(E_F): 28.26 states/eV/cell
calculated formation energy: 913 meV per atom
M_tot: 7.70 μB/f.u.

---

No. 12
Compound: InP2Br
Source: Alexandria
Functional: PBE
Structure: relaxed

a b c (Å): 5.475 3.334 5.733
angles (deg): 90.00 104.49 90.00
Space group Pm (No. 6)
Symmetry-distinct sites (fractional):
In (0.000, 0.000, 0.000) x1
P (0.162, 0.000, 0.528) x1
P (0.434, 0.500, 0.589) x1
Br (0.529, 0.500, 0.125) x1

DOS(E_F): 0.28 states/eV/cell
E above lowest polymorph: 0.051 eV per atom
ΔE_f (raw): -0.0590 eV per atom
M_tot: 0.00 μB/f.u.